Entry 1:
The following is a DFT calculation (PBE) of a relaxed structure of KSi2Hg.

Properties
Energy relative to the elements, uncorrected = 0.21 eV per atom
Crystal system = monoclinic

Cell: 3.052 3.917 8.256 Å, 90.00 90.00 90.00°
Space group Pm (No. 6)
Asymmetric unit:
K: 0.000 0.000 0.000 [1 per cell]
Si: 0.501 0.000 0.560 [1 per cell]
Si: 0.502 0.500 0.723 [1 per cell]
Hg: 0.499 0.500 0.305 [1 per cell]



Entry 2:
The following is a DFT calculation (PBE) of a relaxed structure of EuTlHgSb.

Properties
Energy relative to the elements, uncorrected = -0.44 eV per atom
Crystal system = cubic

Cell: 7.874 7.874 7.874 Å, 90.00 90.00 90.00°
Space group F-43m (No. 216)
Asymmetric unit:
Eu: 0.000 0.000 0.000 [4 per cell]
Tl: 0.000 0.000 0.500 [4 per cell]
Hg: 0.250 0.250 0.750 [4 per cell]
Sb: 0.250 0.250 0.250 [4 per cell]



Entry 3:
The following is a DFT calculation (PBE) of a relaxed structure of LaHo5N6.

Properties
Energy relative to the elements, uncorrected = -1.64 eV per atom
Crystal system = monoclinic

Cell: 6.072 10.518 6.064 Å, 90.00 109.48 90.00°
Space group C2/m (No. 12)
Asymmetric unit:
La: 0.000 0.000 0.000 [2 per cell]
Ho: 0.000 0.169 0.500 [4 per cell]
Ho: 0.000 0.334 0.000 [4 per cell]
Ho: 0.000 0.500 0.500 [2 per cell]
N: 0.240 0.500 0.255 [4 per cell]
N: 0.243 0.328 0.745 [8 per cell]



Entry 4:
The following is a DFT calculation (PBE) of a relaxed structure of YMg5.

Properties
Energy of formation = -0.0063 eV/atom
Crystal system = cubic

Cell: 8.422 8.422 8.422 Å, 90.00 90.00 90.00°
Space group F-43m (No. 216)
Asymmetric unit:
Y: 0.000 0.000 0.000 [4 per cell]
Mg: 0.125 0.125 0.375 [16 per cell]
Mg: 0.250 0.250 0.750 [4 per cell]



Entry 5:
The following is a DFT calculation (PBE) of a relaxed structure of La5Pm5Ge6.

Properties
Energy of formation = -0.7111 eV/atom
Crystal system = orthorhombic

Cell: 6.765 15.400 8.935 Å, 90.00 90.00 90.00°
Space group Amm2 (No. 38)
Asymmetric unit:
La: 0.000 0.000 0.000 [2 per cell]
La: 0.000 0.123 0.627 [4 per cell]
La: 0.500 0.124 0.876 [4 per cell]
Pm: 0.250 0.166 0.252 [8 per cell]
Pm: 0.500 0.000 0.500 [2 per cell]
Ge: 0.000 0.000 0.356 [2 per cell]
Ge: 0.000 0.198 0.949 [4 per cell]
Ge: 0.500 0.000 0.149 [2 per cell]
Ge: 0.500 0.195 0.553 [4 per cell]



Entry 6:
The following is a DFT calculation (PBE) of a relaxed structure of Tl2NiPt2.

Properties
Energy of formation = 0.1450 eV/atom
Crystal system = tetragonal

Cell: 6.704 6.704 4.296 Å, 90.00 90.00 90.00°
Space group P4/mbm (No. 127)
Asymmetric unit:
Tl: 0.173 0.327 0.000 [4 per cell]
Ni: 0.000 0.000 0.500 [2 per cell]
Pt: 0.142 0.642 0.500 [4 per cell]



Entry 7:
The following is a DFT calculation (PBE) of a relaxed structure of KZnAu2.

Properties
Energy of formation = 0.0631 eV/atom
Crystal system = tetragonal

Cell: 4.593 4.593 8.351 Å, 90.00 90.00 90.00°
Space group I-4m2 (No. 119)
Asymmetric unit:
K: 0.000 0.000 0.000 [2 per cell]
Zn: 0.000 0.500 0.750 [2 per cell]
Au: 0.000 0.000 0.500 [2 per cell]
Au: 0.000 0.500 0.250 [2 per cell]



Entry 8:
The following is a DFT calculation (PBE) of a relaxed structure of Ca2GaO2.

Properties
E above lowest polymorph = 0.000 eV/atom
Energy relative to the elements, uncorrected = -1.87 eV per atom
Crystal system = tetragonal

Cell: 4.578 4.578 10.627 Å, 90.00 90.00 90.00°
Space group I4/mmm (No. 139)
Asymmetric unit:
Ca: 0.000 0.500 0.250 [4 per cell]
Ga: 0.000 0.000 0.000 [2 per cell]
O: 0.000 0.000 0.217 [4 per cell]



Entry 9:
The following is a DFT calculation (PBE) of a relaxed structure of BaPt3O4.

Properties
Energy relative to the elements, uncorrected = -0.88 eV per atom
Crystal system = cubic

Cell: 6.059 6.059 6.059 Å, 90.00 90.00 90.00°
Space group Pm-3n (No. 223)
Asymmetric unit:
Ba: 0.000 0.000 0.000 [2 per cell]
Pt: 0.000 0.250 0.500 [6 per cell]
O: 0.250 0.250 0.250 [8 per cell]



Entry 10:
The following is a DFT calculation (PBE) of a relaxed structure of NaCeMgPb.

Properties
Energy of formation = -0.1061 eV/atom
Crystal system = cubic

Cell: 7.692 7.692 7.692 Å, 90.00 90.00 90.00°
Space group F-43m (No. 216)
Asymmetric unit:
Na: 0.000 0.000 0.000 [4 per cell]
Ce: 0.000 0.000 0.500 [4 per cell]
Mg: 0.250 0.250 0.750 [4 per cell]
Pb: 0.250 0.250 0.250 [4 per cell]



Entry 11:
The following is a DFT calculation (PBE) of a relaxed structure of KNaSr2Li.

Properties
Energy of formation = 0.1761 eV/atom
Crystal system = tetragonal

Cell: 6.568 6.568 6.011 Å, 90.00 90.00 90.00°
Space group P4/mmm (No. 123)
Asymmetric unit:
K: 0.000 0.000 0.000 [1 per cell]
Na: 0.500 0.500 0.000 [1 per cell]
Sr: 0.000 0.500 0.500 [2 per cell]
Li: 0.500 0.500 0.500 [1 per cell]



Entry 12:
The following is a DFT calculation (PBE) of a relaxed structure of TcSe3S.

Properties
E above lowest polymorph = 0.592 eV/atom
Energy relative to the elements, uncorrected = 1.19 eV per atom
Crystal system = cubic

Cell: 4.691 4.691 4.691 Å, 90.00 90.00 90.00°
Space group Pm-3m (No. 221)
Asymmetric unit:
Tc: 0.000 0.000 0.000 [1 per cell]
Se: 0.000 0.500 0.500 [3 per cell]
S: 0.500 0.500 0.500 [1 per cell]



Entry 13:
The following is a DFT calculation (PBE) of a relaxed structure of HfTlFeAs2.

Properties
Energy of formation = 1.6957 eV/atom
Crystal system = tetragonal

Cell: 5.193 5.193 5.421 Å, 90.00 90.00 90.00°
Space group P4/mmm (No. 123)
Asymmetric unit:
Hf: 0.000 0.000 0.000 [1 per cell]
Tl: 0.000 0.000 0.500 [1 per cell]
Fe: 0.500 0.500 0.000 [1 per cell]
As: 0.000 0.500 0.500 [2 per cell]



Entry 14:
The following is a DFT calculation (PBE) of a relaxed structure of CrNiW.

Properties
E above lowest polymorph = 0.830 eV/atom
Energy of formation = 0.9607 eV/atom
Crystal system = cubic

Cell: 5.752 5.752 5.752 Å, 90.00 90.00 90.00°
Space group F-43m (No. 216)
Asymmetric unit:
Cr: 0.000 0.000 0.000 [4 per cell]
Ni: 0.000 0.000 0.500 [4 per cell]
W: 0.250 0.250 0.250 [4 per cell]



Entry 15:
The following is a DFT calculation (PBE) of a relaxed structure of CaNd2Hg3.

Properties
E above lowest polymorph = 0.012 eV/atom
Energy of formation = -0.5066 eV/atom
Crystal system = tetragonal

Cell: 3.802 3.802 11.629 Å, 90.00 90.00 90.00°
Space group P4/mmm (No. 123)
Asymmetric unit:
Ca: 0.000 0.000 0.000 [1 per cell]
Nd: 0.000 0.000 0.334 [2 per cell]
Hg: 0.500 0.500 0.168 [2 per cell]
Hg: 0.500 0.500 0.500 [1 per cell]



Entry 16:
The following is a DFT calculation (PBE) of a relaxed structure of Sm2CuSe2F.

Properties
Energy relative to the elements, uncorrected = -0.71 eV per atom
Crystal system = tetragonal

Cell: 3.517 3.517 14.434 Å, 90.00 90.00 90.00°
Space group P4/mmm (No. 123)
Asymmetric unit:
Sm: 0.000 0.000 0.156 [2 per cell]
Cu: 0.000 0.000 0.500 [1 per cell]
Se: 0.000 0.000 0.346 [2 per cell]
F: 0.000 0.000 0.000 [1 per cell]



Entry 17:
The following is a DFT calculation (PBE) of a relaxed structure of SmHo2Tm2Sc.

Properties
Energy of formation = 0.1024 eV/atom
Crystal system = orthorhombic

Cell: 6.816 9.568 5.493 Å, 90.00 90.00 90.00°
Space group Pnnm (No. 58)
Asymmetric unit:
Sm: 0.000 0.000 0.000 [2 per cell]
Ho: 0.246 0.333 0.000 [4 per cell]
Tm: 0.248 0.667 0.000 [4 per cell]
Sc: 0.000 0.500 0.500 [2 per cell]



Entry 18:
The following is a DFT calculation (PBE) of a relaxed structure of MnZn7.

Properties
Energy of formation = 0.0128 eV/atom
Crystal system = cubic

Cell: 7.715 7.715 7.715 Å, 90.00 90.00 90.00°
Space group Fm-3m (No. 225)
Asymmetric unit:
Mn: 0.000 0.000 0.000 [4 per cell]
Zn: 0.000 0.000 0.500 [4 per cell]
Zn: 0.000 0.250 0.250 [24 per cell]



Entry 19:
The following is a DFT calculation (PBE) of a relaxed structure of Zn2TeI.

Properties
E above lowest polymorph = 0.000 eV/atom
Energy relative to the elements, uncorrected = -0.12 eV per atom
Crystal system = tetragonal

Cell: 6.535 6.535 13.146 Å, 90.00 90.00 90.00°
Space group I-42d (No. 122)
Asymmetric unit:
Zn: 0.219 0.250 0.125 [8 per cell]
Te: 0.000 0.000 0.000 [4 per cell]
I: 0.000 0.000 0.500 [4 per cell]



Entry 20:
The following is a DFT calculation (PBE) of a relaxed structure of PuSbAu3.

Properties
E above lowest polymorph = 0.000 eV/atom
Energy relative to the elements, uncorrected = -0.31 eV per atom
Crystal system = monoclinic

Cell: 7.730 7.648 8.520 Å, 90.00 115.75 90.00°
Space group P2_1/c (No. 14)
Asymmetric unit:
Pu: 0.203 0.037 0.232 [4 per cell]
Sb: 0.369 0.748 0.533 [4 per cell]
Au: 0.019 0.680 0.051 [4 per cell]
Au: 0.207 0.072 0.859 [4 per cell]
Au: 0.387 0.136 0.629 [4 per cell]



Values of total moment, in order: 0.00, 28.11, 0.00, 0.00, 0.00, 0.00, 0.00, 0.00, 0.00, 4.53, 0.00, 0.00, 2.92, 7.07, 0.34, 0.00, 0.00, 8.90, 0.00, 21.32, all in μB/cell.